The following is a DFT calculation (PBE) of a geometry-optimized CsHSeN structure.

a b c (Å): 4.4136 4.4142 5.4739
angles (deg): 84.70 84.75 87.40
Last column: nearest neighbours and their distance in Å.
Space group P1 (No. 1)
One atom of each set of equivalent atoms:
Cs (0.0000, 0.0000, 0.0000) [1 per cell]  2 H 3.14-3.35, 4 N 3.14-3.34
H (0.2842, 0.2657, 0.4821) [1 per cell]  1 Se 1.57
Se (0.5095, 0.5111, 0.5375) [1 per cell]  1 H 1.57
N (0.5049, 0.5064, 0.8597) [1 per cell]  1 Se 1.76

Properties
total energy = -3.81 eV/atom
total magnetic moment = 1.0 μB/f.u.
energy relative to the lowest polymorph listed for this composition = 354.3 meV per atom
crystal system = triclinic

---

The following is a DFT calculation (PBE) of a geometry-optimized Ca2TmPaBi4 structure.

a b c (Å): 7.7860 4.5541 7.9103
angles (deg): 90.00 109.25 90.00
Last column: nearest neighbours and their distance in Å.
Space group P2/m (No. 10)
One atom of each set of equivalent atoms:
Ca (0.0000, 0.0000, 0.0000) [1 per cell]  6 Bi 3.29
Ca (0.5000, 0.5000, 0.0000) [1 per cell]  6 Bi 3.25-3.27
Tm (0.0000, 0.5000, 0.5000) [1 per cell]  6 Bi 3.15-3.17
Pa (0.5000, 0.0000, 0.5000) [1 per cell]  6 Bi 3.12-3.15
Bi (0.2485, 0.0000, 0.7354) [2 per cell]  1 Pa 3.12, 2 Tm 3.17, 3 Ca 3.27-3.29
Bi (0.2568, 0.5000, 0.2643) [2 per cell]  2 Pa 3.15, 1 Tm 3.15, 3 Ca 3.25-3.29

Properties
ΔH_f (0 K) = -0.641 eV per atom
total energy = -4.83 eV/atom
total magnetic moment = 0.1 μB/f.u.
crystal system = monoclinic

---

The following is a DFT calculation (PBE) of a geometry-optimized V3OsN structure.

a b c (Å): 3.9207 3.9207 3.9207
angles (deg): 90.00 90.00 90.00
Last column: nearest neighbours and their distance in Å.
Space group Pm-3m (No. 221)
One atom of each set of equivalent atoms:
V (0.0000, 0.0000, 0.5000) [3 per cell]  2 N 1.96
Os (0.5000, 0.5000, 0.5000) [1 per cell]  12 V 2.77
N (0.0000, 0.0000, 0.0000) [1 per cell]  6 V 1.96

Properties
formation energy (no corrections) = -53.9 kJ/mol of atoms
total energy = -9.94 eV/atom
total magnetic moment = 0.0 μB/f.u.
energy relative to the lowest polymorph listed for this composition = 0.0 meV per atom
crystal system = cubic

---

The following is a DFT calculation (PBE) of a geometry-optimized Pa3Ga12Ru structure.

a b c (Å): 4.2966 4.2966 16.1434
angles (deg): 90.00 90.00 90.00
Last column: nearest neighbours and their distance in Å.
Space group P4/mmm (No. 123)
One atom of each set of equivalent atoms:
Pa (0.0000, 0.0000, 0.0000) [1 per cell]  12 Ga 3.04-3.05
Pa (0.0000, 0.0000, 0.2678) [2 per cell]  12 Ga 3.01-3.05
Ga (0.0000, 0.5000, 0.1337) [4 per cell]  8 Ga 2.98-3.05, 4 Pa 3.05
Ga (0.0000, 0.5000, 0.3982) [4 per cell]  2 Ru 2.70, 2 Ga 2.70, 2 Pa 3.01
Ga (0.5000, 0.5000, 0.0000) [1 per cell]  4 Pa 3.04, 8 Ga 3.05
Ga (0.5000, 0.5000, 0.2613) [2 per cell]  8 Ga 2.98-3.08, 4 Pa 3.04
Ga (0.5000, 0.5000, 0.5000) [1 per cell]  8 Ga 2.70
Ru (0.0000, 0.0000, 0.5000) [1 per cell]  8 Ga 2.70

Properties
ΔH_f (0 K) = -0.321 eV per atom
total energy = -4.95 eV/atom
total magnetic moment = 0.0 μB/f.u.
crystal system = tetragonal

---

The following is a DFT calculation (PBE) of a geometry-optimized Si2TeSe structure.

a b c (Å): 4.3079 3.7497 6.9141
angles (deg): 90.00 107.03 90.00
Last column: nearest neighbours and their distance in Å.
Space group Pm (No. 6)
One atom of each set of equivalent atoms:
Si (0.0000, 0.0000, 0.0000) [1 per cell]  1 Se 2.37, 2 Si 2.52
Si (0.4058, 0.5000, 0.1047) [1 per cell]  2 Si 2.52, 2 Se 2.58, 1 Te 2.59
Te (0.5811, 0.5000, 0.7769) [1 per cell]  3 Si 2.59-2.74
Se (0.7974, 0.0000, 0.2845) [1 per cell]  3 Si 2.37-2.58

Properties
formation energy (no corrections) = -1.7 kJ/mol of atoms
total energy = -4.39 eV/atom
total magnetic moment = 0.0 μB/f.u.
energy relative to the lowest polymorph listed for this composition = 47.2 meV per atom
crystal system = monoclinic